OsPt2 PBE-GGA relaxed; electronic total energy = -0.5658 Ry/atom; distance to the lowest polymorph of the same formula = 0.0 meV per atom; DOS(E_F) = 0.94 states/eV per atom; energy of formation = 72 meV per atom
1.0
-2.7081 -0.6270 -0.1670
1.8081 -1.8834 0.9688
-0.9300 2.3419 6.2883
Os Pt
1 2
Direct
0.0000 0.0000 0.0000
0.3333 0.6667 0.6759
0.6667 0.3333 0.3241